Below is a relaxed InAgN crystal, with properties calculated at the PBE-GGA level.

* space-group type: I4/mmm, No. 139
* energy relative to the elements, uncorrected: 519 meV per atom
* ρ: 7.02 g cm⁻³
* total moment: 0.00 μB/f.u.
* energy above the lowest structure with this stoichiometry: 1.22 eV/f.u.

The structure in POSCAR format:
```
InAgN
1.0
3.153 0.000 0.000
0.000 3.153 0.000
-1.577 -1.577 11.263
Ag In N
2 2 2
direct
0.291 0.291 0.581
0.709 0.709 0.419
0.102 0.102 0.204
0.898 0.898 0.796
0.598 0.598 0.197
0.402 0.402 0.803
```


Below is a relaxed In2AgN2 crystal, with properties calculated at the PBE-GGA level.

* space-group type: P-1, No. 2
* energy relative to the elements, uncorrected: 117 meV per atom
* ρ: 4.63 g cm⁻³
* total moment: 0.00 μB/f.u.

The structure in POSCAR format:
```
In2AgN2
1.0
-0.734 -2.879 0.891
1.856 0.325 -2.615
15.802 -0.481 3.230
In Ag N
2 1 2
direct
0.288 0.299 0.170
0.712 0.701 0.830
0.000 0.000 0.000
0.489 0.413 0.538
0.511 0.587 0.462
```


Look up the total moment of the first one.
0.00 μB/f.u.


Please write out number 1 again, unchanged.
Below is a relaxed InAgN crystal, with properties calculated at the PBE-GGA level.

* space-group type: I4/mmm, No. 139
* energy relative to the elements, uncorrected: 519 meV per atom
* ρ: 7.02 g cm⁻³
* total moment: 0.00 μB/f.u.
* energy above the lowest structure with this stoichiometry: 1.22 eV/f.u.

The structure in POSCAR format:
```
InAgN
1.0
3.153 0.000 0.000
0.000 3.153 0.000
-1.577 -1.577 11.263
Ag In N
2 2 2
direct
0.291 0.291 0.581
0.709 0.709 0.419
0.102 0.102 0.204
0.898 0.898 0.796
0.598 0.598 0.197
0.402 0.402 0.803
```


Which of these has the lowest energy relative to the elements, uncorrected?
In2AgN2